# 1
VASP calculation (PBE-GGA) on Ba3CoMo after structural relaxation.

Cell lengths 5.830, 5.830, 5.830 Å; angles 90.00, 90.00, 90.00 degrees
Space group Pm-3m (No. 221)
Unique sites:
Ba 0.000 0.000 0.500 x3
Co 0.000 0.000 0.000 x1
Mo 0.500 0.500 0.500 x1

## Properties
- calculated volume (Å³/f.u.) = 198.2
- formation enthalpy at 0 K (eV per formula unit) = 5.00
- spin magnetization (μB per formula unit) = 4.41
- E above lowest polymorph (meV/atom) = 0.0



# 2
VASP calculation (PBE-GGA) on BaCoMo2 after structural relaxation.

Cell lengths 3.261, 3.261, 7.822 Å; angles 90.00, 90.00, 90.00 degrees
Space group P4mm (No. 99)
Unique sites:
Ba 0.000 0.000 0.000 x1
Co 0.500 0.500 0.323 x1
Mo 0.000 0.000 0.481 x1
Mo 0.500 0.500 0.650 x1

## Properties
- calculated volume (Å³/f.u.) = 83.2
- formation enthalpy at 0 K (eV per formula unit) = 2.61
- spin magnetization (μB per formula unit) = 1.59
- E above lowest polymorph (meV/atom) = 13.1



What did the first record say?
VASP calculation (PBE-GGA) on Ba3CoMo after structural relaxation.

Cell lengths 5.830, 5.830, 5.830 Å; angles 90.00, 90.00, 90.00 degrees
Space group Pm-3m (No. 221)
Unique sites:
Ba 0.000 0.000 0.500 x3
Co 0.000 0.000 0.000 x1
Mo 0.500 0.500 0.500 x1

## Properties
- calculated volume (Å³/f.u.) = 198.2
- formation enthalpy at 0 K (eV per formula unit) = 5.00
- spin magnetization (μB per formula unit) = 4.41
- E above lowest polymorph (meV/atom) = 0.0